DFT (PBE) results for crystalline Cd3GeTe at its relaxed geometry.

The structure in POSCAR format:
```
Cd3GeTe
1.0
-3.326 2.911 -2.762
-4.012 -2.346 2.359
0.074 3.631 3.738
Cd Te Ge
3 1 1
Cartesian
-2.006 -1.173 1.179
-1.663 1.455 -1.381
0.037 1.816 1.869
-3.632 2.098 1.667
0.000 0.000 0.000
```

Distance to the lowest polymorph of the same formula, meV per atom: 0.0
Raw total energy, eV for the cell shown: -9.74
Space group: No. 221
Raw formation energy, eV/f.u.: 0.77
Theoretical density, g cm⁻³: 6.3

DFT (PBE) results for crystalline Cd2GeTe at its relaxed geometry.

The structure in POSCAR format:
```
Cd2GeTe
1.0
-0.970 -6.258 -2.393
6.369 -1.612 1.633
0.964 -5.618 4.724
Ge Te Cd
2 2 4
Cartesian
2.699 -3.935 -0.380
5.016 -5.583 2.989
1.347 -7.906 0.975
0.000 0.000 0.000
4.079 -3.329 1.851
0.452 -5.382 -0.059
5.310 -11.065 2.843
2.885 -7.200 3.293
```

Distance to the lowest polymorph of the same formula, meV per atom: 0.0
Raw total energy, eV for the cell shown: -18.28
Space group: No. 122
Raw formation energy, eV/f.u.: 0.45
Theoretical density, g cm⁻³: 5.5

DFT (PBE) results for crystalline Cd2Ge2Te at its relaxed geometry.

The structure in POSCAR format:
```
Cd2Ge2Te
1.0
8.726 0.000 0.000
0.000 8.726 0.000
0.000 0.000 3.124
Cd Te Ge
4 2 4
Cartesian
2.752 7.115 0.000
1.611 2.752 0.000
5.974 1.611 0.000
7.115 5.974 0.000
0.000 0.000 0.000
4.363 4.363 0.000
3.417 0.946 1.562
5.309 7.780 1.562
0.946 5.309 1.562
7.780 3.417 1.562
```

Distance to the lowest polymorph of the same formula, meV per atom: 52.8
Raw total energy, eV for the cell shown: -26.62
Space group: No. 127
Raw formation energy, eV/f.u.: 0.90
Theoretical density, g cm⁻³: 7.0

DFT (PBE) results for crystalline CdGe2Te2 at its relaxed geometry.

The structure in POSCAR format:
```
CdGe2Te2
1.0
-1.561 0.572 -5.492
-4.639 -3.231 0.982
-5.284 2.104 -1.277
Ge Te Cd
2 2 1
Cartesian
-3.811 -0.211 -1.936
-7.673 -0.344 -3.851
-6.512 -1.228 -1.275
-4.973 0.673 -4.512
0.000 0.000 0.000
```

Distance to the lowest polymorph of the same formula, meV per atom: 0.0
Raw total energy, eV for the cell shown: -16.00
Space group: No. 139
Raw formation energy, eV/f.u.: 0.44
Theoretical density, g cm⁻³: 6.2

DFT (PBE) results for crystalline CdGe2Te at its relaxed geometry.

The structure in POSCAR format:
```
CdGe2Te
1.0
3.283 -3.045 -2.463
3.055 -3.132 2.641
-0.795 -5.047 -0.121
Te Ge Cd
1 2 1
Cartesian
2.772 -5.612 0.028
4.157 -8.418 0.043
1.386 -2.806 0.014
0.000 0.000 0.000
```

Distance to the lowest polymorph of the same formula, meV per atom: 109.8
Raw total energy, eV for the cell shown: -12.02
Space group: No. 225
Raw formation energy, eV/f.u.: 1.28
Theoretical density, g cm⁻³: 6.8

DFT (PBE) results for crystalline CdGeTe3 at its relaxed geometry.

The structure in POSCAR format:
```
CdGeTe3
1.0
-0.463 1.462 5.344
1.794 -5.034 1.533
5.242 1.852 -0.053
Ge Te Cd
1 3 1
Cartesian
3.287 -0.860 3.412
0.897 -2.517 0.766
-0.231 0.731 2.672
2.621 0.926 -0.026
0.000 0.000 0.000
```

Distance to the lowest polymorph of the same formula, meV per atom: 261.3
Raw total energy, eV for the cell shown: -11.80
Space group: No. 221
Raw formation energy, eV/f.u.: 3.16
Theoretical density, g cm⁻³: 5.5

DFT (PBE) results for crystalline Cd2Ge2Te at its relaxed geometry.

The structure in POSCAR format:
```
Cd2Ge2Te
1.0
-0.395 -3.694 1.098
2.241 -1.118 -2.955
7.397 -1.716 3.719
Te Cd Ge
1 2 2
Cartesian
0.000 0.000 0.000
2.229 -2.267 0.009
7.014 -4.261 1.853
3.963 -3.908 1.944
5.280 -2.620 -0.083
```

Distance to the lowest polymorph of the same formula, meV per atom: 0.0
Raw total energy, eV for the cell shown: -13.57
Space group: No. 139
Raw formation energy, eV/f.u.: 0.63
Theoretical density, g cm⁻³: 6.9

DFT (PBE) results for crystalline CdGe2Te at its relaxed geometry.

The structure in POSCAR format:
```
CdGe2Te
1.0
6.295 0.000 0.000
0.000 6.295 0.000
3.148 3.148 6.295
Te Ge Cd
2 4 2
Cartesian
6.295 3.148 3.147
0.000 0.000 0.000
4.619 1.574 1.574
1.677 4.722 1.574
4.722 4.824 4.721
7.869 7.766 4.721
3.148 3.148 0.000
3.148 6.295 3.147
```

Distance to the lowest polymorph of the same formula, meV per atom: 0.0
Raw total energy, eV for the cell shown: -24.91
Space group: No. 122
Raw formation energy, eV/f.u.: 0.84
Theoretical density, g cm⁻³: 5.1